A plane-wave DFT calculation with PBE was carried out for an optimized crystal structure of MgTl2I5.

- Energy: -2.383 eV per atom
- Magnetization: 0.000 μB per atom

abc: 6.6211 8.6211 14.3229
angles: 90.00 90.00 112.58
With the nearest neighbours (Å) after each atom.
Fractional coordinates of all 16 atoms:
Mg (0.8042, 0.6083, 0.7500)  4 I 2.86
Mg (0.1958, 0.3917, 0.2500)  4 I 2.86
Tl (0.8361, 0.6723, 0.4326)  6 I 3.27-3.58
Tl (0.8361, 0.6723, 0.0674)  6 I 3.27-3.58
Tl (0.1639, 0.3277, 0.5674)  6 I 3.27-3.58
Tl (0.1639, 0.3277, 0.9326)  6 I 3.27-3.58
I (0.9450, 0.8899, 0.8740)  1 Mg 2.86
I (0.9450, 0.8899, 0.6260)  1 Mg 2.86
I (0.3182, 0.6364, 0.3965)  1 Mg 2.86
I (0.3182, 0.6364, 0.1035)  1 Mg 2.86
I (0.7028, 0.4057, 0.2500)  2 Mg 3.31, 2 Tl 3.37
I (0.2972, 0.5943, 0.7500)  2 Mg 3.31, 2 Tl 3.37
I (0.6818, 0.3636, 0.6035)  1 Mg 2.86
I (0.6818, 0.3636, 0.8965)  1 Mg 2.86
I (0.0550, 0.1101, 0.1260)  1 Mg 2.86
I (0.0550, 0.1101, 0.3740)  1 Mg 2.86